1.
The following is a PBE calculation of a relaxed structure of Dy2PuCo3, from Alexandria.

Output
Calculated density   11648 kg/m3
Crystal system   hexagonal
Magnetization   7.2 μB per cell
Calculated total energy   -45.4 eV per formula unit

Cell: 5.5706 5.5706 7.9123 Å, 90.00 90.00 120.00°
Space group P6_3/mmc (No. 194)
Symmetry-distinct sites (fractional):
Dy (0.3333, 0.6667, 0.0611) [4 per cell]
Pu (0.0000, 0.0000, 0.0000) [2 per cell]
Co (0.1785, 0.3569, 0.7500) [6 per cell]

=====

2.
The following is a PBE calculation of a relaxed structure of Dy3PuCo, from Alexandria.

Output
Calculated density   9054 kg/m3
Crystal system   cubic
Magnetization   7.1 μB per cell
Calculated total energy   -34.8 eV per formula unit

Cell: 5.253 5.253 5.253 Å, 90.00 90.00 90.00°
Space group Pm-3m (No. 221)
Symmetry-distinct sites (fractional):
Dy (0.000, 0.000, 0.500) [3 per cell]
Pu (0.500, 0.500, 0.500) [1 per cell]
Co (0.000, 0.000, 0.000) [1 per cell]

=====

3.
The following is a PBE calculation of a relaxed structure of DyPuCo4, from Alexandria.

Output
Calculated density   11768 kg/m3
Crystal system   cubic
Magnetization   4.7 μB per cell
Calculated total energy   -48.4 eV per formula unit

Cell: 7.130 7.130 7.130 Å, 90.00 90.00 90.00°
Space group F-43m (No. 216)
Symmetry-distinct sites (fractional):
Dy (0.000, 0.000, 0.000) [4 per cell]
Pu (0.250, 0.250, 0.250) [4 per cell]
Co (0.125, 0.125, 0.625) [16 per cell]

=====

4.
The following is a PBE calculation of a relaxed structure of DyPu2Co, from Alexandria.

Output
Calculated density   11480 kg/m3
Crystal system   trigonal
Magnetization   32.6 μB per cell
Energy above the most stable polymorph in this dataset   0.194 eV per atom

Cell: 3.4869 3.4869 29.2371 Å, 90.00 90.00 120.00°
Space group R-3m (No. 166, hexagonal axes)
Symmetry-distinct sites (fractional):
Dy (0.0000, 0.0000, 0.0000) [3 per cell]
Pu (0.0000, 0.0000, 0.1084) [6 per cell]
Co (0.0000, 0.0000, 0.5000) [3 per cell]

=====

5.
The following is a PBE calculation of a relaxed structure of DyPu2Co, from Alexandria.

Output
Calculated density   12498 kg/m3
Crystal system   tetragonal
Magnetization   10.6 μB per cell
Energy above the most stable polymorph in this dataset   0.000 eV per atom

Cell: 3.386 3.386 8.222 Å, 90.00 90.00 90.00°
Space group P4/mmm (No. 123)
Symmetry-distinct sites (fractional):
Dy (0.000, 0.000, 0.000) [1 per cell]
Pu (0.500, 0.500, 0.311) [2 per cell]
Co (0.000, 0.000, 0.500) [1 per cell]

=====

6.
The following is a PBE calculation of a relaxed structure of Dy2PuCo9, from Alexandria.

Output
Calculated density   10547 kg/m3
Crystal system   trigonal
Magnetization   44.7 μB per cell
Calculated total energy   -88.3 eV per formula unit

Cell: 4.9595 4.9595 24.3770 Å, 90.00 90.00 120.00°
Space group R-3m (No. 166, hexagonal axes)
Symmetry-distinct sites (fractional):
Dy (0.0000, 0.0000, 0.1393) [6 per cell]
Pu (0.0000, 0.0000, 0.0000) [3 per cell]
Co (0.0000, 0.0000, 0.3344) [6 per cell]
Co (0.0000, 0.0000, 0.5000) [3 per cell]
Co (0.0022, 0.5011, 0.9186) [18 per cell]

=====

7.
The following is a PBE calculation of a relaxed structure of DyPuCoRh, from Alexandria.

Output
Calculated density   12185 kg/m3
Crystal system   cubic
Magnetization   17.6 μB per cell
Calculated total energy   -34.6 eV per formula unit

Cell: 6.766 6.766 6.766 Å, 90.00 90.00 90.00°
Space group F-43m (No. 216)
Symmetry-distinct sites (fractional):
Dy (0.000, 0.000, 0.000) [4 per cell]
Pu (0.000, 0.000, 0.500) [4 per cell]
Co (0.250, 0.250, 0.250) [4 per cell]
Rh (0.250, 0.250, 0.750) [4 per cell]

=====

8.
The following is a PBE calculation of a relaxed structure of RbDy2Co, from Alexandria.

Output
Calculated density   5197 kg/m3
Crystal system   trigonal
Magnetization   0.0 μB per cell
Calculated total energy   -16.9 eV per formula unit

Cell: 3.9645 3.9645 33.0577 Å, 90.00 90.00 120.00°
Space group R-3m (No. 166, hexagonal axes)
Symmetry-distinct sites (fractional):
Rb (0.0000, 0.0000, 0.0000) [3 per cell]
Dy (0.0000, 0.0000, 0.1253) [6 per cell]
Co (0.0000, 0.0000, 0.5000) [3 per cell]

=====

9.
The following is a PBE calculation of a relaxed structure of Dy2CoRe, from Alexandria.

Output
Calculated density   11827 kg/m3
Crystal system   trigonal
Magnetization   0.0 μB per cell
Calculated total energy   -25.5 eV per formula unit

Cell: 3.0991 3.0991 28.8736 Å, 90.00 90.00 120.00°
Space group R-3m (No. 166, hexagonal axes)
Symmetry-distinct sites (fractional):
Dy (0.0000, 0.0000, 0.0962) [6 per cell]
Co (0.0000, 0.0000, 0.5000) [3 per cell]
Re (0.0000, 0.0000, 0.0000) [3 per cell]

=====

10.
The following is a PBE calculation of a relaxed structure of DyCoReSi3, from Alexandria.

Output
Calculated density   7638 kg/m3
Crystal system   orthorhombic
Magnetization   0.0 μB per cell
Formation energy (no corrections)   -245 meV per atom

Cell: 6.135 11.835 5.892 Å, 90.00 90.00 90.00°
Space group Cmcm (No. 63)
Symmetry-distinct sites (fractional):
Dy (0.000, 0.247, 0.250) [4 per cell]
Co (0.000, 0.395, 0.750) [4 per cell]
Re (0.000, 0.027, 0.750) [4 per cell]
Si (0.000, 0.218, 0.750) [4 per cell]
Si (0.193, 0.500, 0.000) [8 per cell]

=====

11.
The following is a PBE calculation of a relaxed structure of Dy5CoRh4, from Alexandria.

Output
Calculated density   10742 kg/m3
Crystal system   tetragonal
Magnetization   0.7 μB per cell
Calculated total energy   -66.8 eV per formula unit

Cell: 3.401 3.401 17.147 Å, 90.00 90.00 90.00°
Space group P4/mmm (No. 123)
Symmetry-distinct sites (fractional):
Dy (0.000, 0.000, 0.000) [1 per cell]
Dy (0.000, 0.000, 0.202) [2 per cell]
Dy (0.000, 0.000, 0.403) [2 per cell]
Co (0.500, 0.500, 0.500) [1 per cell]
Rh (0.500, 0.500, 0.101) [2 per cell]
Rh (0.500, 0.500, 0.302) [2 per cell]

=====

12.
The following is a PBE calculation of a relaxed structure of DyCoRh, from Alexandria.

Output
Calculated density   10766 kg/m3
Crystal system   orthorhombic
Magnetization   4.8 μB per cell
Calculated total energy   -20.5 eV per formula unit

Cell: 4.947 5.457 7.412 Å, 90.00 90.00 90.00°
Space group Imma (No. 74)
Symmetry-distinct sites (fractional):
Dy (0.000, 0.250, 0.119) [4 per cell]
Co (0.250, 0.250, 0.750) [4 per cell]
Rh (0.000, 0.000, 0.500) [4 per cell]

=====

N(E_F) values (in states/eV/cell) by entry order: 22.62 13.83 34.54 44.25 12.81 91.81 31.00 11.90 11.72 14.16 5.47 16.47.